Entry 1:
First-principles (PBEsol) data for a relaxed MgNiAs crystal, as listed in the Alexandria database.

a = 3.914 Å, b = 3.914 Å, c = 3.581 Å
α = 90.00°, β = 90.00°, γ = 120.00°
Fractional positions:
Mg 0.000 0.000 0.000
Ni 0.333 0.667 0.500
As 0.667 0.333 0.500

Results
formation energy from the elements = -40 kJ/mol of atoms

Entry 2:
First-principles (PBEsol) data for a relaxed MgNiAs3 crystal, as listed in the Alexandria database.

a = 4.786 Å, b = 4.786 Å, c = 4.786 Å
α = 90.00°, β = 90.00°, γ = 90.00°
Fractional positions:
Mg 0.000 0.000 0.000
Ni 0.500 0.500 0.500
As 0.000 0.000 0.500
As 0.000 0.500 0.000
As 0.500 0.000 0.000

Results
formation energy from the elements = 111 kJ/mol of atoms

Entry 3:
First-principles (PBEsol) data for a relaxed MgNiAsSe2 crystal, as listed in the Alexandria database.

a = 4.910 Å, b = 4.910 Å, c = 4.271 Å
α = 90.00°, β = 90.00°, γ = 90.00°
Fractional positions:
Mg 0.000 0.000 0.000
Ni 0.500 0.500 0.500
As 0.500 0.500 0.000
Se 0.000 0.500 0.500
Se 0.500 0.000 0.500

Results
formation energy without anion corrections = 0.023 eV per atom

| no. | total moment (μB/cell) | raw total energy (eV per cell) | V (Å³ per atom) |
| --- | --- | --- | --- |
| 1 | 0.00 | -14.2 | 15.84 |
| 2 | 0.22 | -17.4 | 21.93 |
| 3 | 0.00 | -20.6 | 20.59 |